# CsCdFe2I8, relaxed, DFT PBE
data_CsCdFe2I8
_cell_length_a 12.104
_cell_length_b 8.329
_cell_length_c 11.114
_cell_angle_alpha 90.00
_cell_angle_beta 99.11
_cell_angle_gamma 90.00
_space_group_name_H-M_alt 'C 1 2/m 1'
_space_group_IT_number 12
_space_group_name_Hall '-C 2y'
loop_
_atom_site_label
_atom_site_type_symbol
_atom_site_fract_x
_atom_site_fract_y
_atom_site_fract_z
Cs1 Cs 0.000 0.000 0.000
Cd1 Cd 0.000 0.000 0.500
Fe1 Fe 0.110 0.500 0.292
I1 I 0.023 0.253 0.704
I2 I 0.184 0.500 0.090
I3 I 0.249 0.000 0.508
# ΔE_f (raw), meV per atom: -478.1
# N(E_F), states/eV/cell: 14.22

---

# CsCd2FeIr, relaxed, DFT PBE
data_CsCd2FeIr
_cell_length_a 6.605
_cell_length_b 6.605
_cell_length_c 5.197
_cell_angle_alpha 90.00
_cell_angle_beta 90.00
_cell_angle_gamma 90.00
_space_group_name_H-M_alt 'P 4/m m m'
_space_group_IT_number 123
_space_group_name_Hall '-P 4 2'
loop_
_atom_site_label
_atom_site_type_symbol
_atom_site_fract_x
_atom_site_fract_y
_atom_site_fract_z
Cs1 Cs 0.000 0.000 0.000
Cd1 Cd 0.000 0.500 0.000
Fe1 Fe 0.500 0.500 0.500
Ir1 Ir 0.000 0.000 0.500
# Calculated total energy, Ry per atom: -0.1337
# N(E_F), states/eV/cell: 15.41